## LiHfInPd (GGA-PBE)

Data for a geometry-optimized LiHfInPd structure.

Cell lengths 6.5075, 6.5075, 6.5075 Å; angles 90.00, 90.00, 90.00 degrees
Closest atoms and distances in Å follow each position.
Space group F-43m (No. 216)
One atom of each set of equivalent atoms:
1 Li 0.0000 0.0000 0.0000 (multiplicity 4)  4 Hf 2.82, 4 In 2.82
2 Hf 0.2500 0.2500 0.2500 (multiplicity 4)  4 Li 2.82, 4 Pd 2.82
3 In 0.2500 0.2500 0.7500 (multiplicity 4)  4 Li 2.82, 4 Pd 2.82
4 Pd 0.0000 0.0000 0.5000 (multiplicity 4)  4 Hf 2.82, 4 In 2.82

uncorrected energy: -87.46 eV per cell
E_form: -2.065 eV/f.u.